(1)
The following is a PBE calculation of NaZrIn after structural relaxation, from the Alexandria database.

Lattice parameters (Å, degrees): 3.174 5.453 9.137 100.41 80.24 106.57
Element x y z (fractional)
Zr  0.670  0.265  0.927
Zr  0.330  0.735  0.073
In  0.001  0.231  0.228
In  0.999  0.769  0.772
Na  0.659  0.736  0.422
Na  0.341  0.264  0.578

Values from the calculation:
Density of states at the Fermi level: 4.05 states/eV/cell
Symmetry: P-1
Formation energy from the elements: -37 meV/atom
E: -4.239 eV/atom
Crystal system: triclinic
Calculated volume: 24.650 A^3/atom


(2)
The following is a PBE calculation of NaZrIn after structural relaxation, from the Alexandria database.

Lattice parameters (Å, degrees): 5.252 5.252 3.156 90.00 90.00 120.00
Element x y z (fractional)
Na  0.667  0.333  0.500
Zr  0.333  0.667  0.000
In  0.000  0.000  0.000

Values from the calculation:
Density of states at the Fermi level: 2.60 states/eV/cell
Symmetry: P-6m2
Formation energy from the elements: 301 meV/atom
E: -3.901 eV/atom
Crystal system: hexagonal
Calculated volume: 25.129 A^3/atom


(3)
The following is a PBE calculation of Na2ZrIn after structural relaxation, from the Alexandria database.

Lattice parameters (Å, degrees): 8.635 8.635 6.804 50.61 50.61 90.00
Each line ends with the local moment (μB).
Element x y z (fractional)
In  0.750  0.250  0.500  0.00
In  0.000  0.000  0.000  0.00
Na  0.103  0.625  0.250  0.01
Na  0.375  0.353  0.750  0.01
Na  0.647  0.125  0.250  0.01
Na  0.875  0.897  0.750  0.01
Zr  0.250  0.750  0.500  0.71
Zr  0.500  0.500  0.000  0.71

Values from the calculation:
Density of states at the Fermi level: 8.71 states/eV/cell
Symmetry: I-42d
Formation energy from the elements: 593 meV/atom
E: -2.888 eV/atom
Crystal system: tetragonal
Calculated volume: 27.972 A^3/atom


(4)
The following is a PBE calculation of NaZrIn after structural relaxation, from the Alexandria database.

Lattice parameters (Å, degrees): 15.638 5.967 5.967 129.09 148.35 31.65
Element x y z (fractional)
Na  0.079  0.770  0.591
Na  0.921  0.591  0.770
In  0.500  0.714  0.714
In  0.000  0.211  0.211
Zr  0.447  0.134  0.421
Zr  0.553  0.421  0.134

Values from the calculation:
Density of states at the Fermi level: 2.77 states/eV/cell
Symmetry: C2
Formation energy from the elements: 89 meV/atom
E: -4.112 eV/atom
Crystal system: monoclinic
Calculated volume: 24.004 A^3/atom


(5)
The following is a PBE calculation of NaZrIn after structural relaxation, from the Alexandria database.

Lattice parameters (Å, degrees): 8.605 6.241 4.971 90.00 90.00 90.00
Element x y z (fractional)
In  0.500  0.500  0.500
In  0.000  0.000  0.000
In  0.500  0.000  0.500
In  0.000  0.500  0.000
Zr  0.333  0.250  0.000
Zr  0.667  0.750  0.000
Zr  0.833  0.250  0.500
Zr  0.167  0.750  0.500
Na  0.833  0.750  0.500
Na  0.667  0.250  0.000
Na  0.333  0.750  0.000
Na  0.167  0.250  0.500

Values from the calculation:
Density of states at the Fermi level: 1.97 states/eV/cell
Symmetry: P6_3/mmc
Formation energy from the elements: 319 meV/atom
E: -3.883 eV/atom
Crystal system: hexagonal
Calculated volume: 22.248 A^3/atom


(6)
The following is a PBE calculation of NaZrIn after structural relaxation, from the Alexandria database.

Lattice parameters (Å, degrees): 3.278 11.315 4.239 90.00 90.00 90.00
Element x y z (fractional)
Na  0.000  0.387  0.000
Na  0.500  0.613  0.500
Zr  0.000  0.075  0.000
Zr  0.500  0.925  0.500
In  0.500  0.212  0.500
In  0.000  0.788  0.000

Values from the calculation:
Density of states at the Fermi level: 3.81 states/eV/cell
Symmetry: Pmmn
Formation energy from the elements: -96 meV/atom
E: -4.298 eV/atom
Crystal system: orthorhombic
Calculated volume: 26.199 A^3/atom


(7)
The following is a PBE calculation of NaZrIn after structural relaxation, from the Alexandria database.

Lattice parameters (Å, degrees): 5.038 5.038 6.539 90.00 90.00 120.00
Element x y z (fractional)
Na  0.667  0.333  0.299
Na  0.000  0.000  0.458
Zr  0.333  0.667  0.690
Zr  0.000  0.000  0.955
In  0.667  0.333  0.785
In  0.333  0.667  0.164

Values from the calculation:
Density of states at the Fermi level: 6.09 states/eV/cell
Symmetry: P3m1
Formation energy from the elements: 78 meV/atom
E: -4.124 eV/atom
Crystal system: trigonal
Calculated volume: 23.960 A^3/atom


(8)
The following is a PBE calculation of NaZrIn after structural relaxation, from the Alexandria database.

Lattice parameters (Å, degrees): 8.856 3.050 11.147 90.00 90.00 90.00
Element x y z (fractional)
Zr  0.560  0.750  0.610
Zr  0.940  0.250  0.110
Zr  0.060  0.750  0.890
Zr  0.440  0.250  0.390
Na  0.164  0.750  0.583
Na  0.836  0.250  0.417
Na  0.664  0.750  0.917
Na  0.336  0.250  0.083
In  0.351  0.250  0.795
In  0.649  0.750  0.205
In  0.149  0.750  0.295
In  0.851  0.250  0.705

Values from the calculation:
Density of states at the Fermi level: 11.04 states/eV/cell
Symmetry: Pnma
Formation energy from the elements: -5 meV/atom
E: -4.207 eV/atom
Crystal system: orthorhombic
Calculated volume: 25.094 A^3/atom


(9)
The following is a PBE calculation of NaZrIn after structural relaxation, from the Alexandria database.

Lattice parameters (Å, degrees): 15.123 3.174 3.175 90.00 89.97 90.00
Element x y z (fractional)
Zr  0.926  0.250  0.750
Zr  0.074  0.750  0.250
In  0.769  0.750  0.251
In  0.231  0.250  0.749
Na  0.606  0.250  0.751
Na  0.394  0.750  0.249

Values from the calculation:
Density of states at the Fermi level: 3.76 states/eV/cell
Symmetry: P4/nmm
Formation energy from the elements: -119 meV/atom
E: -4.321 eV/atom
Crystal system: tetragonal
Calculated volume: 25.399 A^3/atom


(10)
The following is a PBE calculation of NaZrIn after structural relaxation, from the Alexandria database.

Lattice parameters (Å, degrees): 17.158 3.323 3.323 120.03 106.84 73.16
Element x y z (fractional)
Na  0.479  0.947  0.053
Na  0.671  0.419  0.581
Zr  0.150  0.943  0.057
Zr  0.999  0.760  0.240
In  0.841  0.584  0.416
In  0.309  0.451  0.549

Values from the calculation:
Density of states at the Fermi level: 2.27 states/eV/cell
Symmetry: Cm
Formation energy from the elements: -49 meV/atom
E: -4.251 eV/atom
Crystal system: monoclinic
Calculated volume: 25.770 A^3/atom